Ho5Ir2Au2 | Alexandria | PBE | optimized geometry; DFT formation energy = -0.85 eV per atom; spin magnetization = 0.000 μB per formula unit; E_tot = -6.09 eV/atom; volume = 427.5 Å³ per cell
1.0
-4.0787 0.9039 6.3412
3.1296 -6.1317 2.8870
3.9555 7.2728 1.5075
Ho Ir Au
10 4 4
Direct
0.0000 0.0000 0.0000 Ho
0.5000 0.5000 0.0000 Ho
0.8312 0.7974 0.2563 Ho
0.1688 0.4590 0.2563 Ho
0.3312 0.9590 0.2563 Ho
0.6688 0.2974 0.2563 Ho
0.1688 0.2026 0.7437 Ho
0.8312 0.5410 0.7437 Ho
0.6688 0.0410 0.7437 Ho
0.3312 0.7026 0.7437 Ho
0.6330 0.8675 0.0000 Ir
0.3670 0.1325 0.0000 Ir
0.1330 0.6325 0.0000 Ir
0.8670 0.3675 0.0000 Ir
0.0000 0.2069 0.4139 Au
0.5000 0.7069 0.4139 Au
0.0000 0.7931 0.5861 Au
0.5000 0.2931 0.5861 Au